(1)
The following is a DFT calculation (PBE-GGA) of Rb3Cd8Ag after structural relaxation.

Calculated values
- Space group: R3m (160)
- Uncorrected energy: -1.077 eV/atom

```
Rb3Cd8Ag
1.0
6.382 0.000 0.000
3.191 5.527 0.000
3.191 1.842 10.563
Rb Cd Ag
3 8 1
Direct
0.997 0.997 0.008
0.376 0.376 0.871
0.504 0.504 0.488
0.192 0.192 0.425
0.445 0.942 0.672
0.942 0.445 0.672
0.689 0.689 0.933
0.935 0.438 0.189
0.438 0.438 0.189
0.438 0.935 0.189
0.942 0.942 0.672
0.852 0.852 0.443
```

---

(2)
The following is a DFT calculation (PBE-GGA) of Rb2Cd12Ag7 after structural relaxation.

Calculated values
- Space group: P-6 (174)
- Uncorrected energy: -1.593 eV/atom

```
Rb2Cd12Ag7
1.0
-0.810 2.630 -3.961
-4.200 -8.860 -5.023
-6.573 6.687 5.783
Cd Ag Rb
12 7 2
Direct
0.000 0.455 0.962
0.500 0.221 0.480
0.500 0.520 0.741
0.500 0.672 0.054
0.000 0.832 0.716
0.000 0.284 0.115
0.000 0.038 0.493
0.500 0.946 0.618
0.500 0.259 0.779
0.500 0.382 0.328
0.000 0.507 0.545
0.000 0.885 0.168
0.500 0.412 0.082
0.000 0.203 0.328
0.000 0.125 0.797
0.000 0.333 0.667
0.500 0.918 0.330
0.000 0.672 0.875
0.500 0.670 0.588
0.000 0.667 0.333
0.500 0.000 0.000
```

---

(3)
The following is a DFT calculation (PBE-GGA) of Rb2CdAg3 after structural relaxation.

Calculated values
- Space group: Pmma (51)
- Energy above the most stable polymorph in this dataset: 0.0000 eV per atom

```
Rb2CdAg3
1.0
-2.770 4.716 -2.056
-4.200 -0.027 5.595
5.967 5.470 4.505
Cd Rb Ag
2 4 6
Direct
0.750 0.500 0.422
0.250 0.500 0.578
0.250 0.000 0.375
0.750 0.500 0.858
0.250 0.500 0.142
0.750 0.000 0.625
0.250 0.795 0.786
0.000 0.000 0.000
0.750 0.795 0.214
0.250 0.205 0.786
0.500 0.000 0.000
0.750 0.205 0.214
```

---

(4)
The following is a DFT calculation (PBE-GGA) of RbCd2Ag2 after structural relaxation.

Calculated values
- Space group: P-1 (2)
- Energy above the most stable polymorph in this dataset: 0.0000 eV per atom

```
RbCd2Ag2
1.0
6.678 0.210 0.086
3.547 6.629 -0.423
3.424 -0.472 6.978
Cd Ag Rb
4 4 2
Direct
0.611 0.377 0.272
0.389 0.623 0.728
0.783 0.882 0.808
0.217 0.118 0.192
0.232 0.804 0.445
0.501 0.313 0.977
0.768 0.196 0.555
0.499 0.687 0.023
0.145 0.249 0.726
0.855 0.751 0.274
```

---

(5)
The following is a DFT calculation (PBE-GGA) of RbCd2Ag2 after structural relaxation.

Calculated values
- Space group: I4/mmm (139)
- Energy above the most stable polymorph in this dataset: 0.0274 eV per atom

```
RbCd2Ag2
1.0
-1.792 4.415 1.926
-1.754 -2.512 4.126
2.981 1.779 5.552
Ag Cd Rb
2 2 1
Direct
0.750 0.250 0.500
0.250 0.750 0.500
0.364 0.364 0.271
0.636 0.636 0.729
0.000 0.000 0.000
```

---

(6)
The following is a DFT calculation (PBE-GGA) of Rb3Cd3Ag2 after structural relaxation.

Calculated values
- Space group: Pnma (62)
- Uncorrected energy: -1.435 eV/atom

```
Rb3Cd3Ag2
1.0
6.883 0.000 0.000
0.000 9.613 0.000
0.000 0.000 17.519
Cd Rb Ag
12 12 8
Direct
0.386 0.673 0.538
0.614 0.327 0.038
0.886 0.827 0.462
0.614 0.327 0.462
0.557 0.342 0.750
0.386 0.673 0.962
0.943 0.842 0.750
0.886 0.827 0.038
0.057 0.158 0.250
0.114 0.173 0.962
0.114 0.173 0.538
0.443 0.658 0.250
0.383 0.960 0.393
0.617 0.040 0.607
0.383 0.960 0.107
0.089 0.197 0.750
0.117 0.460 0.393
0.117 0.460 0.107
0.883 0.540 0.893
0.617 0.040 0.893
0.911 0.803 0.250
0.411 0.697 0.750
0.589 0.303 0.250
0.883 0.540 0.607
0.384 0.384 0.902
0.616 0.616 0.098
0.384 0.384 0.598
0.884 0.116 0.402
0.116 0.884 0.598
0.884 0.116 0.098
0.116 0.884 0.902
0.616 0.616 0.402
```

---

(7)
The following is a DFT calculation (PBE-GGA) of Rb3CdAg6 after structural relaxation.

Calculated values
- Space group: C2/m (12)
- Uncorrected energy: -1.980 eV/atom

```
Rb3CdAg6
1.0
-2.723 -0.230 -5.237
-4.404 -5.591 -0.796
-8.445 0.821 1.024
Rb Cd Ag
3 1 6
Direct
0.529 0.220 0.722
0.000 0.000 0.000
0.471 0.780 0.278
0.000 0.500 0.500
0.982 0.348 0.197
0.794 0.954 0.458
0.472 0.348 0.197
0.018 0.652 0.803
0.528 0.652 0.803
0.206 0.046 0.542
```

---

(8)
The following is a DFT calculation (PBE-GGA) of Rb2Cd9Ag3 after structural relaxation.

Calculated values
- Space group: C2/c (15)
- Uncorrected energy: -1.366 eV/atom

```
Rb2Cd9Ag3
1.0
8.064 -0.038 -3.310
-4.768 7.297 -0.059
0.464 0.268 12.147
Rb Ag Cd
4 6 18
Direct
0.336 0.248 0.752
0.004 0.416 0.252
0.996 0.584 0.748
0.664 0.752 0.248
0.849 0.176 0.501
0.151 0.824 0.499
0.175 0.348 0.999
0.500 0.000 0.000
0.500 0.500 0.500
0.825 0.652 0.001
0.781 0.470 0.435
0.465 0.654 0.935
0.794 0.304 0.939
0.865 0.855 0.561
0.531 0.178 0.547
0.206 0.696 0.061
0.871 0.121 0.750
0.464 0.918 0.745
0.535 0.346 0.065
0.672 0.719 0.755
0.869 0.016 0.047
0.129 0.879 0.250
0.469 0.822 0.453
0.131 0.984 0.953
0.135 0.145 0.439
0.536 0.082 0.255
0.219 0.530 0.565
0.328 0.281 0.245
```

---

(9)
The following is a DFT calculation (PBE-GGA) of Rb2Cd5Ag4 after structural relaxation.

Calculated values
- Space group: C2/m (12)
- Uncorrected energy: -1.613 eV/atom

```
Rb2Cd5Ag4
1.0
-4.572 -3.031 -2.833
2.455 -3.644 -6.790
0.192 -7.722 1.223
Cd Ag Rb
5 4 2
Direct
0.204 0.257 0.837
0.000 0.500 0.500
0.796 0.743 0.163
0.298 0.743 0.163
0.702 0.257 0.837
0.619 0.937 0.825
0.772 0.558 0.897
0.381 0.063 0.175
0.228 0.442 0.103
0.722 0.207 0.348
0.278 0.793 0.652
```

---

(10)
The following is a DFT calculation (PBE-GGA) of Rb3Cd5Ag2 after structural relaxation.

Calculated values
- Space group: Ibam (72)
- Uncorrected energy: -1.319 eV/atom

```
Rb3Cd5Ag2
1.0
7.242 0.000 0.000
3.621 9.696 -0.312
3.621 2.272 9.431
Rb Cd Ag
6 10 4
Direct
0.627 0.607 0.139
0.873 0.861 0.393
0.750 0.000 0.000
0.373 0.393 0.861
0.127 0.139 0.607
0.250 0.000 0.000
0.498 0.752 0.752
0.625 0.251 0.500
0.502 0.248 0.248
0.375 0.749 0.500
0.875 0.500 0.749
0.002 0.248 0.248
0.750 0.500 0.500
0.250 0.500 0.500
0.125 0.500 0.251
0.998 0.752 0.752
0.843 0.305 0.009
0.157 0.695 0.991
0.343 0.009 0.305
0.657 0.991 0.695
```

---

(11)
The following is a DFT calculation (PBE-GGA) of RbCd9Ag3 after structural relaxation.

Calculated values
- Space group: C2/m (12)
- Uncorrected energy: -1.403 eV/atom

```
RbCd9Ag3
1.0
-4.689 -1.696 2.596
-2.666 -6.487 -3.410
1.677 -4.921 5.902
Cd Ag Rb
9 3 1
Direct
0.513 0.221 0.773
0.653 0.351 0.359
0.487 0.779 0.227
0.715 0.779 0.773
0.011 0.351 0.641
0.285 0.221 0.227
0.989 0.649 0.359
0.000 0.500 0.000
0.347 0.649 0.641
0.500 0.500 0.000
0.500 0.000 0.500
0.000 0.000 0.500
0.000 0.000 0.000
```

---

(12)
The following is a DFT calculation (PBE-GGA) of Rb2CdAg2 after structural relaxation.

Calculated values
- Space group: P4/mbm (127)
- Energy above the most stable polymorph in this dataset: 0.2444 eV per atom

```
Rb2CdAg2
1.0
-1.217 2.799 -9.458
-9.735 -1.871 0.699
-0.675 3.986 1.267
Ag Rb Cd
4 4 2
Direct
0.605 0.895 0.500
0.895 0.395 0.500
0.105 0.605 0.500
0.395 0.105 0.500
0.322 0.822 0.000
0.822 0.678 0.000
0.678 0.178 0.000
0.178 0.322 0.000
0.500 0.500 0.000
0.000 0.000 0.000
```

---

Number 1: volume 372.6 Å³/cell. Number 2: volume 507.0 Å³/cell. Number 3: volume 378.7 Å³/cell. Number 4: volume 300.0 Å³/cell. Number 5: volume 143.9 Å³/cell. Number 6: volume 1159.2 Å³/cell. Number 7: volume 277.4 Å³/cell. Number 8: volume 728.1 Å³/cell. Number 9: volume 324.9 Å³/cell. Number 10: volume 667.3 Å³/cell. Number 11: volume 303.5 Å³/cell. Number 12: volume 418.4 Å³/cell.